DFT (PBE) results for crystalline PrHoEr2In4 at its relaxed geometry.

```
8
Lattice="2.670 1.541 8.755 -2.670 1.541 8.755 0.000 -3.083 8.755" Properties=species:S:1:pos:R:3 pbc="T T T"
Pr 0.000 0.000 0.000
Ho 0.000 0.000 13.132
Er 0.000 0.000 6.551
Er 0.000 0.000 19.713
In 0.000 0.000 3.329
In 0.000 0.000 9.903
In 0.000 0.000 16.362
In 0.000 0.000 22.936
```

The energy relative to the elements comes out at -0.45 eV/atom. Its symmetry is R-3m.



DFT (PBE) results for crystalline Pr2Ho6Er3In at its relaxed geometry.

```
12
Lattice="3.037 -5.264 0.000 3.037 5.264 0.000 -2.031 0.000 11.522" Properties=species:S:1:pos:R:3 pbc="T T T"
Pr 3.037 3.515 0.000
Pr 3.037 -3.515 0.000
Ho 0.016 1.723 8.624
Ho 1.046 0.000 2.909
Ho 0.016 -1.723 8.624
Ho 4.028 1.723 2.898
Ho 2.998 0.000 8.613
Ho 4.028 -1.723 2.898
Er -1.015 0.000 5.761
Er 2.022 1.755 5.761
Er 2.022 -1.755 5.761
In 3.037 0.000 0.000
```

The energy relative to the elements comes out at -0.06 eV/atom. Its symmetry is C2/m.



DFT (PBE) results for crystalline Pr3Ho6Er2In at its relaxed geometry.

```
12
Lattice="3.075 -5.323 0.000 3.075 5.323 0.000 -2.048 0.000 11.461" Properties=species:S:1:pos:R:3 pbc="T T T"
Pr 0.000 0.000 0.000
Pr 3.075 1.776 0.000
Pr 3.075 -1.776 0.000
Ho 1.046 1.745 2.964
Ho 0.030 0.000 8.506
Ho 1.046 -1.745 2.964
Ho 3.056 1.745 8.497
Ho 4.072 0.000 2.954
Ho 3.056 -1.745 8.497
Er 2.051 3.553 5.730
Er 2.051 -3.553 5.730
In 2.051 0.000 5.730
```

The energy relative to the elements comes out at -0.03 eV/atom. Its symmetry is C2/m.



DFT (PBE) results for crystalline Pr6Ho3Er2In at its relaxed geometry.

```
12
Lattice="3.111 -5.404 0.000 3.111 5.404 0.000 -2.106 0.000 11.636" Properties=species:S:1:pos:R:3 pbc="T T T"
Pr -0.043 1.771 8.698
Pr 0.995 0.000 2.920
Pr -0.043 -1.771 8.698
Pr 4.158 1.771 2.938
Pr 3.120 0.000 8.716
Pr 4.158 -1.771 2.938
Ho 3.111 3.589 0.000
Ho 3.111 0.000 0.000
Ho 3.111 -3.589 0.000
Er 2.057 1.798 5.818
Er 2.057 -1.798 5.818
In -1.053 0.000 5.818
```

The energy relative to the elements comes out at -0.03 eV/atom. Its symmetry is C2/m.